Entry 1:
VASP calculation (PBE) on an optimized crystal structure of LiUFe4.

Unit cell a=4.876 b=4.876 c=4.876 alpha=60.00 beta=60.00 gamma=60.00
Fractional coordinates of all 6 atoms:
Li 0.000 0.000 0.000
U 0.750 0.750 0.750
Fe 0.374 0.374 0.374
Fe 0.374 0.374 0.877
Fe 0.374 0.877 0.374
Fe 0.877 0.374 0.374

Values from the calculation:
- raw total energy (eV per cell) = -46.39
- calculated formation energy (eV/atom) = 0.111
- volume (Å³ per cell) = 82.0
- crystal system = cubic
- space-group type = No. 216

---

Entry 2:
VASP calculation (PBE) on an optimized crystal structure of ScCoSn2.

Unit cell a=10.225 b=10.225 c=10.225 alpha=156.08 beta=156.08 gamma=34.08
Fractional coordinates of all 8 atoms:
Sc 0.000 0.000 0.000
Sc 0.750 0.250 0.500
Co 0.250 0.750 0.500
Co 0.500 0.500 0.000
Sn 0.141 0.625 0.016
Sn 0.375 0.391 0.516
Sn 0.609 0.125 0.984
Sn 0.875 0.859 0.484

Values from the calculation:
- raw total energy (eV per cell) = -41.80
- calculated formation energy (eV/atom) = 0.135
- volume (Å³ per cell) = 175.6
- crystal system = tetragonal
- space-group type = No. 122

---

Entry 3:
VASP calculation (PBE) on an optimized crystal structure of Nd3Y5Tm3.

Unit cell a=11.194 b=11.194 c=3.442 alpha=90.00 beta=90.00 gamma=120.00
Fractional coordinates of all 11 atoms:
Nd 0.000 0.660 0.000
Nd 0.340 0.340 0.000
Nd 0.660 0.000 0.000
Y 0.000 0.162 0.000
Y 0.162 0.000 0.000
Y 0.333 0.667 0.000
Y 0.667 0.333 0.000
Y 0.838 0.838 0.000
Tm 0.000 0.408 0.500
Tm 0.408 0.000 0.500
Tm 0.592 0.592 0.500

Values from the calculation:
- raw total energy (eV per cell) = -56.28
- ΔE to the lowest computed polymorph (eV per formula unit) = 0.00
- calculated formation energy (eV/atom) = 0.342
- volume (Å³ per cell) = 373.5
- crystal system = hexagonal
- space-group type = No. 189

---

Entry 4:
VASP calculation (PBE) on an optimized crystal structure of GaSnI3.

Unit cell a=6.169 b=6.169 c=6.169 alpha=90.00 beta=90.00 gamma=90.00
Fractional coordinates of all 5 atoms:
Ga 0.000 0.000 0.000
Sn 0.500 0.500 0.500
I 0.000 0.500 0.500
I 0.500 0.000 0.500
I 0.500 0.500 0.000

Values from the calculation:
- raw formation energy (eV/f.u.) = -1.22
- raw total energy (eV per cell) = -12.90
- ΔE to the lowest computed polymorph (eV per formula unit) = 0.93
- volume (Å³ per cell) = 234.8
- crystal system = cubic
- space-group type = No. 221

---

Entry 5:
VASP calculation (PBE) on an optimized crystal structure of Cs2InPb2Cl7.

Unit cell a=5.692 b=5.692 c=14.840 alpha=100.93 beta=100.93 gamma=89.96
Fractional coordinates of all 12 atoms:
Cs 0.176 0.176 0.362
Cs 0.824 0.824 0.638
In 0.000 0.000 0.000
Pb 0.399 0.399 0.800
Pb 0.601 0.601 0.200
Cl 0.094 0.595 0.187
Cl 0.294 0.294 0.600
Cl 0.405 0.906 0.813
Cl 0.500 0.500 0.000
Cl 0.595 0.094 0.187
Cl 0.706 0.706 0.400
Cl 0.906 0.405 0.813

Values from the calculation:
- raw formation energy (eV/f.u.) = -16.27
- raw total energy (eV per cell) = -41.05
- volume (Å³ per cell) = 463.2
- crystal system = monoclinic
- space-group type = No. 12

---

Entry 6:
VASP calculation (PBE) on an optimized crystal structure of PrHo2Hf.

Unit cell a=4.865 b=4.865 c=4.928 alpha=90.00 beta=90.00 gamma=90.00
Fractional coordinates of all 4 atoms:
Pr 0.000 0.000 0.000
Ho 0.000 0.500 0.500
Ho 0.500 0.000 0.500
Hf 0.500 0.500 0.000

Values from the calculation:
- raw total energy (eV per cell) = -23.23
- ΔE to the lowest computed polymorph (eV per formula unit) = 0.19
- calculated formation energy (eV/atom) = 0.165
- volume (Å³ per cell) = 116.6
- crystal system = tetragonal
- space-group type = No. 123

---

Entry 7:
VASP calculation (PBE) on an optimized crystal structure of Tm3Ge.

Unit cell a=6.260 b=6.260 c=6.260 alpha=144.33 beta=133.17 gamma=60.23
Fractional coordinates of all 4 atoms:
Tm 0.000 0.000 0.000
Tm 0.291 0.791 0.500
Tm 0.709 0.209 0.500
Ge 0.500 0.500 0.000

Values from the calculation:
- raw total energy (eV per cell) = -19.54
- calculated formation energy (eV/atom) = -0.376
- volume (Å³ per cell) = 103.3
- crystal system = orthorhombic
- space-group type = No. 71

---

Entry 8:
VASP calculation (PBE) on an optimized crystal structure of ReBiF3.

Unit cell a=4.271 b=4.271 c=4.271 alpha=90.00 beta=90.00 gamma=90.00
Fractional coordinates of all 5 atoms:
Re 0.000 0.000 0.000
Bi 0.500 0.500 0.500
F 0.000 0.000 0.500
F 0.000 0.500 0.000
F 0.500 0.000 0.000

Values from the calculation:
- raw formation energy (eV/f.u.) = -2.46
- raw total energy (eV per cell) = -24.40
- ΔE to the lowest computed polymorph (eV per formula unit) = 0.00
- volume (Å³ per cell) = 77.9
- crystal system = cubic
- space-group type = No. 221

---

Entry 9:
VASP calculation (PBE) on an optimized crystal structure of Na2HfUSe4.

Unit cell a=6.864 b=3.942 c=7.520 alpha=90.00 beta=107.39 gamma=90.00
Fractional coordinates of all 8 atoms:
Na 0.000 0.000 0.000
Na 0.500 0.500 0.000
Hf 0.000 0.500 0.500
U 0.500 0.000 0.500
Se 0.227 0.000 0.724
Se 0.239 0.500 0.266
Se 0.761 0.500 0.734
Se 0.773 0.000 0.276

Values from the calculation:
- raw formation energy (eV/f.u.) = -9.58
- raw total energy (eV per cell) = -47.40
- volume (Å³ per cell) = 194.2
- crystal system = monoclinic
- space-group type = No. 10

---

Entry 10:
VASP calculation (PBE) on an optimized crystal structure of BaTl2Si.

Unit cell a=5.559 b=5.559 c=5.559 alpha=60.00 beta=60.00 gamma=60.00
Fractional coordinates of all 4 atoms:
Ba 0.000 0.000 0.000
Tl 0.250 0.250 0.250
Tl 0.750 0.750 0.750
Si 0.500 0.500 0.500

Values from the calculation:
- raw formation energy (eV/f.u.) = 0.10
- raw total energy (eV per cell) = -11.98
- ΔE to the lowest computed polymorph (eV per formula unit) = 0.56
- volume (Å³ per cell) = 121.5
- crystal system = cubic
- space-group type = No. 225

---

Entry 11:
VASP calculation (PBE) on an optimized crystal structure of ZrScPt2.

Unit cell a=4.825 b=4.825 c=3.177 alpha=90.00 beta=90.00 gamma=90.00
Fractional coordinates of all 4 atoms:
Zr 0.000 0.000 0.000
Sc 0.500 0.500 0.000
Pt 0.000 0.500 0.500
Pt 0.500 0.000 0.500

Values from the calculation:
- raw total energy (eV per cell) = -31.27
- calculated formation energy (eV/atom) = -1.077
- volume (Å³ per cell) = 74.0
- crystal system = tetragonal
- space-group type = No. 123

---

Entry 12:
VASP calculation (PBE) on an optimized crystal structure of LuZrPdRh.

Unit cell a=4.756 b=4.756 c=4.756 alpha=60.00 beta=60.00 gamma=60.00
Fractional coordinates of all 4 atoms:
Lu 0.000 0.000 0.000
Zr 0.500 0.500 0.500
Pd 0.250 0.250 0.250
Rh 0.750 0.750 0.750

Values from the calculation:
- raw total energy (eV per cell) = -28.82
- calculated formation energy (eV/atom) = -0.801
- volume (Å³ per cell) = 76.1
- crystal system = cubic
- space-group type = No. 216

---

Entry 13:
VASP calculation (PBE) on an optimized crystal structure of TbNdZnRh.

Unit cell a=5.035 b=5.035 c=5.035 alpha=60.00 beta=60.00 gamma=60.00
Fractional coordinates of all 4 atoms:
Tb 0.000 0.000 0.000
Nd 0.500 0.500 0.500
Zn 0.250 0.250 0.250
Rh 0.750 0.750 0.750

Values from the calculation:
- raw total energy (eV per cell) = -20.13
- ΔE to the lowest computed polymorph (eV per formula unit) = 0.09
- calculated formation energy (eV/atom) = -0.526
- volume (Å³ per cell) = 90.3
- crystal system = cubic
- space-group type = No. 216

---

Entry 14:
VASP calculation (PBE) on an optimized crystal structure of In2TcMo.

Unit cell a=9.385 b=9.385 c=9.385 alpha=18.48 beta=18.48 gamma=18.48
Fractional coordinates of all 4 atoms:
In 0.248 0.248 0.248
In 0.752 0.752 0.752
Tc 0.500 0.500 0.500
Mo 0.000 0.000 0.000

Values from the calculation:
- raw total energy (eV per cell) = -24.84
- ΔE to the lowest computed polymorph (eV per formula unit) = 1.23
- calculated formation energy (eV/atom) = 0.459
- volume (Å³ per cell) = 72.6
- crystal system = trigonal
- space-group type = No. 166

---

Entry 15:
VASP calculation (PBE) on an optimized crystal structure of LiMn2W2.

Unit cell a=7.279 b=7.279 c=2.750 alpha=90.00 beta=90.00 gamma=90.00
Fractional coordinates of all 10 atoms:
Li 0.000 0.000 0.000
Li 0.500 0.500 0.000
Mn 0.148 0.352 0.500
Mn 0.352 0.852 0.500
Mn 0.648 0.148 0.500
Mn 0.852 0.648 0.500
W 0.148 0.648 0.000
W 0.352 0.148 0.000
W 0.648 0.852 0.000
W 0.852 0.352 0.000

Values from the calculation:
- raw total energy (eV per cell) = -88.23
- ΔE to the lowest computed polymorph (eV per formula unit) = 0.00
- calculated formation energy (eV/atom) = 0.409
- volume (Å³ per cell) = 145.7
- crystal system = tetragonal
- space-group type = No. 127

---

Entry 16:
VASP calculation (PBE) on an optimized crystal structure of CaPW2.

Unit cell a=2.807 b=5.032 c=5.038 alpha=90.00 beta=91.88 gamma=90.00
Fractional coordinates of all 4 atoms:
Ca 0.000 0.000 0.000
P 0.500 0.000 0.500
W 0.394 0.500 0.744
W 0.606 0.500 0.256

Values from the calculation:
- raw total energy (eV per cell) = -31.21
- ΔE to the lowest computed polymorph (eV per formula unit) = 1.74
- calculated formation energy (eV/atom) = 0.528
- volume (Å³ per cell) = 71.1
- crystal system = monoclinic
- space-group type = No. 10

---

Entry 17:
VASP calculation (PBE) on an optimized crystal structure of HfNbPdW.

Unit cell a=4.634 b=4.634 c=4.634 alpha=60.00 beta=60.00 gamma=60.00
Fractional coordinates of all 4 atoms:
Hf 0.000 0.000 0.000
Nb 0.500 0.500 0.500
Pd 0.250 0.250 0.250
W 0.750 0.750 0.750

Values from the calculation:
- raw total energy (eV per cell) = -38.89
- calculated formation energy (eV/atom) = -0.179
- volume (Å³ per cell) = 70.4
- crystal system = cubic
- space-group type = No. 216

---

Entry 18:
VASP calculation (PBE) on an optimized crystal structure of ErLu2Th.

Unit cell a=5.582 b=5.582 c=5.582 alpha=60.00 beta=60.00 gamma=60.00
Fractional coordinates of all 4 atoms:
Er 0.000 0.000 0.000
Lu 0.250 0.250 0.250
Lu 0.750 0.750 0.750
Th 0.500 0.500 0.500

Values from the calculation:
- raw total energy (eV per cell) = -20.58
- ΔE to the lowest computed polymorph (eV per formula unit) = 0.34
- calculated formation energy (eV/atom) = 0.111
- volume (Å³ per cell) = 123.0
- crystal system = cubic
- space-group type = No. 225

---

Entry 19:
VASP calculation (PBE) on an optimized crystal structure of CdSbTe2As.

Unit cell a=5.512 b=5.512 c=5.483 alpha=90.00 beta=90.00 gamma=90.00
Fractional coordinates of all 5 atoms:
Cd 0.000 0.000 0.000
Sb 0.000 0.000 0.500
Te 0.000 0.500 0.000
Te 0.500 0.000 0.000
As 0.500 0.500 0.500

Values from the calculation:
- raw formation energy (eV/f.u.) = 4.42
- raw total energy (eV per cell) = -11.55
- ΔE to the lowest computed polymorph (eV per formula unit) = 1.97
- volume (Å³ per cell) = 166.6
- crystal system = tetragonal
- space-group type = No. 123

---

Entry 20:
VASP calculation (PBE) on an optimized crystal structure of La2Nd6SmHo3.

Unit cell a=6.335 b=6.335 c=12.064 alpha=95.03 beta=95.03 gamma=120.03
Fractional coordinates of all 12 atoms:
La 0.167 0.833 0.000
La 0.833 0.167 0.000
Nd 0.082 0.415 0.744
Nd 0.253 0.253 0.256
Nd 0.415 0.082 0.744
Nd 0.585 0.918 0.256
Nd 0.747 0.747 0.744
Nd 0.918 0.585 0.256
Sm 0.500 0.500 0.000
Ho 0.000 0.000 0.500
Ho 0.334 0.666 0.500
Ho 0.666 0.334 0.500

Values from the calculation:
- raw total energy (eV per cell) = -56.69
- calculated formation energy (eV/atom) = 0.019
- volume (Å³ per cell) = 412.7
- crystal system = monoclinic
- space-group type = No. 12